Density functional theory data (PBE) for CaScGe after structural relaxation.

The structure belongs to space group P4/nmm (No. 129, origin choice 2); the cell edges are 4.454, 4.454 and 7.615 Å and the angles 90.00°, 90.00° and 90.00°. The asymmetric unit holds Ca at (0.250, 0.250, 0.144), Sc at (0.250, 0.750, 0.500) and Ge at (0.250, 0.250, 0.733).

For the energy of formation from the pure elements, the calculation gives -1.9 eV/f.u.

***

Density functional theory data (PBE) for CaScGe2 after structural relaxation.

The structure belongs to space group I-42d (No. 122); the cell edges are 7.678, 7.678 and 6.388 Å and the angles 90.00°, 90.00° and 90.00°. The asymmetric unit holds Ca at (0.000, 0.000, 0.000), Sc at (0.000, 0.000, 0.500) and Ge at (0.231, 0.250, 0.625).

For the energy of formation from the pure elements, the calculation gives -1.0 eV/f.u.

***

Density functional theory data (PBE) for CaScTl2Ge after structural relaxation.

The structure belongs to space group P4/mmm (No. 123); the cell edges are 5.484, 5.484 and 5.194 Å and the angles 90.00°, 90.00° and 90.00°. The asymmetric unit holds Ca at (0.000, 0.000, 0.000), Sc at (0.500, 0.500, 0.000), Tl at (0.000, 0.500, 0.500) and Ge at (0.500, 0.500, 0.500).

For the energy of formation from the pure elements, the calculation gives 0.6 eV/f.u.

***

Density functional theory data (PBE) for CaScGeW2 after structural relaxation.

The structure belongs to space group P4/mmm (No. 123); the cell edges are 4.759, 4.759 and 5.059 Å and the angles 90.00°, 90.00° and 90.00°. The asymmetric unit holds Ca at (0.000, 0.000, 0.000), Sc at (0.500, 0.500, 0.000), Ge at (0.500, 0.500, 0.500) and W at (0.000, 0.500, 0.500).

For the energy of formation from the pure elements, the calculation gives 4.6 eV/f.u.

***

Density functional theory data (PBE) for CaScZnGe after structural relaxation.

The structure belongs to space group F-43m (No. 216); the cell edges are 6.957, 6.957 and 6.957 Å and the angles 90.00°, 90.00° and 90.00°. The asymmetric unit holds Ca at (0.000, 0.000, 0.000), Sc at (0.000, 0.000, 0.500), Zn at (0.250, 0.250, 0.750) and Ge at (0.250, 0.250, 0.250).

For the energy of formation from the pure elements, the calculation gives -1.6 eV/f.u.

***

Density functional theory data (PBE) for CaGeSe2 after structural relaxation.

The structure belongs to space group Pm (No. 6); the cell edges are 4.230, 4.097 and 5.927 Å and the angles 90.00°, 91.09° and 90.00°. The asymmetric unit holds Ca at (0.000, 0.000, 0.000), Ge at (0.445, 0.500, 0.535), Se at (0.035, 0.000, 0.504) and Se at (0.496, 0.500, 0.979).

Its raw formation energy is -4.50 eV/f.u.

***

Density functional theory data (PBE) for Ca2GeSe4 after structural relaxation.

The structure belongs to space group Ama2 (No. 40); the cell edges are 10.149, 10.419 and 7.198 Å and the angles 90.00°, 90.00° and 90.00°. The asymmetric unit holds Ca at (0.000, 0.000, 0.000), Ca at (0.250, 0.193, 0.554), Ge at (0.250, 0.272, 0.036), Se at (0.059, 0.271, 0.844), Se at (0.250, 0.068, 0.197) and Se at (0.250, 0.434, 0.272).

Its raw formation energy is -8.66 eV/f.u.

***

Density functional theory data (PBE) for CaGe2Se4 after structural relaxation.

The structure belongs to space group I4/m (No. 87); the cell edges are 7.794, 7.794 and 6.490 Å and the angles 90.00°, 90.00° and 90.00°. The asymmetric unit holds Ca at (0.000, 0.000, 0.000), Ge at (0.000, 0.500, 0.250) and Se at (0.171, 0.313, 0.500).

Its raw formation energy is -4.12 eV/f.u.

***

Density functional theory data (PBE) for Ca4GeSe2 after structural relaxation.

The structure belongs to space group I4/mmm (No. 139); the cell edges are 5.462, 5.462 and 15.447 Å and the angles 90.00°, 90.00° and 90.00°. The asymmetric unit holds Ca at (0.000, 0.000, 0.181), Ca at (0.000, 0.500, 0.000), Ge at (0.000, 0.000, 0.000) and Se at (0.000, 0.000, 0.364).

Its raw formation energy is -6.89 eV/f.u.

***

Density functional theory data (PBE) for Ca2GeSe3 after structural relaxation.

The structure belongs to space group Immm (No. 71); the cell edges are 4.163, 5.859 and 12.527 Å and the angles 90.00°, 90.00° and 90.00°. The asymmetric unit holds Ca at (0.000, 0.000, 0.166), Ge at (0.000, 0.000, 0.500), Se at (0.000, 0.500, 0.161) and Se at (0.000, 0.500, 0.500).

Its raw formation energy is -8.36 eV/f.u.

***

Density functional theory data (PBE) for Ca4GeSe5 after structural relaxation.

The structure belongs to space group I4 (No. 79); the cell edges are 9.375, 9.375 and 5.940 Å and the angles 90.00°, 90.00° and 90.00°. The asymmetric unit holds Ca at (0.101, 0.700, 0.000), Ge at (0.000, 0.000, 0.530), Se at (0.000, 0.000, 0.970) and Se at (0.098, 0.704, 0.501).

Its raw formation energy is -16.51 eV/f.u.

***

Density functional theory data (PBE) for CaGe2Se after structural relaxation.

The structure belongs to space group I-42d (No. 122); the cell edges are 8.334, 8.334 and 5.596 Å and the angles 90.00°, 90.00° and 90.00°. The asymmetric unit holds Ca at (0.000, 0.000, 0.000), Ge at (0.216, 0.750, 0.625) and Se at (0.000, 0.000, 0.500).

Its raw formation energy is -1.06 eV/f.u.

***

Density functional theory data (PBE) for CaGeSe2 after structural relaxation.

The structure belongs to space group R-3m (No. 166, hexagonal axes); the cell edges are 3.9607, 3.9607 and 25.5054 Å and the angles 90.00°, 90.00° and 120.00°. The asymmetric unit holds Ca at (0.0000, 0.0000, 0.0000), Ge at (0.0000, 0.0000, 0.5000) and Se at (0.0000, 0.0000, 0.1076).

Its raw formation energy is -1.52 eV/f.u.

***

Density functional theory data (PBE) for CaGeSe2 after structural relaxation.

The structure belongs to space group Fm-3m (No. 225); the cell edges are 7.163, 7.163 and 7.163 Å and the angles 90.00°, 90.00° and 90.00°. The asymmetric unit holds Ca at (0.000, 0.000, 0.000), Ge at (0.000, 0.000, 0.500) and Se at (0.250, 0.250, 0.250).

Its raw formation energy is -3.12 eV/f.u.

***

Density functional theory data (PBE) for CaGe6Se8 after structural relaxation.

The structure belongs to space group R-3 (No. 148, hexagonal axes); the cell edges are 9.6861, 9.6861 and 14.5379 Å and the angles 90.00°, 90.00° and 120.00°. The asymmetric unit holds Ca at (0.0000, 0.0000, 0.0000), Ge at (0.0049, 0.2333, 0.6322), Se at (0.0000, 0.0000, 0.2751) and Se at (0.0427, 0.2890, 0.0977).

Its raw formation energy is -5.49 eV/f.u.

***

Density functional theory data (PBE) for CaGeSe2 after structural relaxation.

The structure belongs to space group I-42d (No. 122); the cell edges are 6.319, 6.319 and 13.448 Å and the angles 90.00°, 90.00° and 90.00°. The asymmetric unit holds Ca at (0.000, 0.000, 0.000), Ge at (0.000, 0.000, 0.500) and Se at (0.231, 0.250, 0.625).

Its raw formation energy is -3.41 eV/f.u.

***

Density functional theory data (PBE) for Ca2GeSe4 after structural relaxation.

The structure belongs to space group I4/mmm (No. 139); the cell edges are 5.035, 5.035 and 14.803 Å and the angles 90.00°, 90.00° and 90.00°. The asymmetric unit holds Ca at (0.000, 0.000, 0.132), Ge at (0.000, 0.000, 0.500), Se at (0.000, 0.000, 0.324) and Se at (0.000, 0.500, 0.000).

Its raw formation energy is -6.27 eV/f.u.

***

Density functional theory data (PBE) for CaGeSe2 after structural relaxation.

The structure belongs to space group R-3m (No. 166, hexagonal axes); the cell edges are 4.4230, 4.4230 and 23.9161 Å and the angles 90.00°, 90.00° and 120.00°. The asymmetric unit holds Ca at (0.0000, 0.0000, 0.0000), Ge at (0.0000, 0.0000, 0.5000) and Se at (0.0000, 0.0000, 0.3956).

Its raw formation energy is -2.33 eV/f.u.

***

Density functional theory data (PBE) for Ca3GeSe4 after structural relaxation.

The structure belongs to space group Pmn2_1 (No. 31); the cell edges are 10.033, 8.584 and 5.886 Å and the angles 90.00°, 90.00° and 90.00°. The asymmetric unit holds Ca at (0.000, 0.162, 0.000), Ca at (0.248, 0.332, 0.500), Ge at (0.000, 0.830, 0.467), Se at (0.000, 0.155, 0.499), Se at (0.000, 0.827, 0.027) and Se at (0.248, 0.671, 0.499).

Its raw formation energy is -11.63 eV/f.u.

***

Density functional theory data (PBE) for CaGeSe2 after structural relaxation.

The structure belongs to space group P1 (No. 1); the cell edges are 4.038, 5.446 and 5.714 Å and the angles 77.26°, 69.44° and 68.42°. The asymmetric unit holds Ca at (0.000, 0.000, 0.000), Ge at (0.544, 0.468, 0.443), Se at (0.225, 0.111, 0.436) and Se at (0.717, 0.589, 0.974).

Its raw formation energy is -3.91 eV/f.u.

***

It is found that the energy values, taken in the order of the records, are -4.945 -4.647 -3.419 -6.860 -3.968 -4.523 -4.459 -4.185 -3.784 -4.573 -4.655 -3.944 -3.776 -4.177 -4.205 -4.250 -4.118 -3.979 -4.523 -4.374 eV per atom.